Compound: TmCo6
Source: Alexandria
Functional: GGA-PBE
Structure: relaxed

CIF file:
```
data_TmCo6
_chemical_formula_sum 'Tm4 Co24'
_symmetry_space_group_name_H-M 'P 1'
_symmetry_Int_Tables_number 1
_cell_length_a 7.773
_cell_length_b 4.789
_cell_length_c 9.767
_cell_angle_alpha 90.00
_cell_angle_beta 90.00
_cell_angle_gamma 90.00
loop_
_symmetry_equiv_pos_as_xyz
'x,y,z'
loop_
_atom_site_label
_atom_site_type_symbol
_atom_site_fract_x
_atom_site_fract_y
_atom_site_fract_z
Tm1 Tm 0.240 0.250 0.060
Tm2 Tm 0.260 0.750 0.560
Tm3 Tm 0.740 0.250 0.440
Tm4 Tm 0.760 0.750 0.940
Co1 Co 0.065 0.750 0.090
Co2 Co 0.070 0.011 0.308
Co3 Co 0.070 0.489 0.308
Co4 Co 0.091 0.250 0.523
Co5 Co 0.139 0.750 0.853
Co6 Co 0.184 0.250 0.756
Co7 Co 0.316 0.750 0.256
Co8 Co 0.361 0.250 0.353
Co9 Co 0.409 0.750 0.023
Co10 Co 0.430 0.511 0.808
Co11 Co 0.430 0.989 0.808
Co12 Co 0.435 0.250 0.590
Co13 Co 0.565 0.750 0.410
Co14 Co 0.570 0.011 0.192
Co15 Co 0.570 0.489 0.192
Co16 Co 0.591 0.250 0.977
Co17 Co 0.639 0.750 0.647
Co18 Co 0.684 0.250 0.744
Co19 Co 0.816 0.750 0.244
Co20 Co 0.861 0.250 0.147
Co21 Co 0.909 0.750 0.477
Co22 Co 0.930 0.511 0.692
Co23 Co 0.930 0.989 0.692
Co24 Co 0.935 0.250 0.910
```

Properties
For the spin magnetization, the calculation gives 35.11 Bohr magnetons per cell. The formation energy is -96 meV/atom. The total energy is -6.8260 eV per atom. Its crystal system is orthorhombic.

=====

Compound: Cs2PaCuO4
Source: Alexandria
Functional: GGA-PBE
Structure: relaxed

CIF file:
```
data_Cs2PaCuO4
_chemical_formula_sum 'Cs4 Pa2 Cu2 O8'
_symmetry_space_group_name_H-M 'P 1'
_symmetry_Int_Tables_number 1
_cell_length_a 6.435
_cell_length_b 6.435
_cell_length_c 8.439
_cell_angle_alpha 90.00
_cell_angle_beta 90.00
_cell_angle_gamma 90.00
loop_
_symmetry_equiv_pos_as_xyz
'x,y,z'
loop_
_atom_site_label
_atom_site_type_symbol
_atom_site_fract_x
_atom_site_fract_y
_atom_site_fract_z
Cs1 Cs 0.000 0.000 0.000
Cs2 Cs 0.000 0.500 0.250
Cs3 Cs 0.500 0.000 0.750
Cs4 Cs 0.500 0.500 0.500
Pa1 Pa 0.000 0.000 0.500
Pa2 Pa 0.500 0.500 0.000
Cu1 Cu 0.000 0.500 0.750
Cu2 Cu 0.500 0.000 0.250
O1 O 0.127 0.241 0.631
O2 O 0.241 0.873 0.369
O3 O 0.259 0.627 0.869
O4 O 0.373 0.259 0.131
O5 O 0.627 0.741 0.131
O6 O 0.741 0.373 0.869
O7 O 0.759 0.127 0.369
O8 O 0.873 0.759 0.631
```

Properties
For the spin magnetization, the calculation gives 0.00 Bohr magnetons per cell. The total energy is -6.3360 eV per atom. Its crystal system is tetragonal. The formation energy without anion corrections comes out at -1944 meV/atom.

=====

Compound: YAl2
Source: Alexandria
Functional: GGA-PBE
Structure: relaxed

CIF file:
```
data_YAl2
_chemical_formula_sum 'Y1 Al2'
_symmetry_space_group_name_H-M 'P 1'
_symmetry_Int_Tables_number 1
_cell_length_a 3.224
_cell_length_b 3.224
_cell_length_c 7.366
_cell_angle_alpha 90.00
_cell_angle_beta 90.00
_cell_angle_gamma 120.00
loop_
_symmetry_equiv_pos_as_xyz
'x,y,z'
loop_
_atom_site_label
_atom_site_type_symbol
_atom_site_fract_x
_atom_site_fract_y
_atom_site_fract_z
Y1 Y 0.000 0.000 0.000
Al1 Al 0.333 0.667 0.355
Al2 Al 0.667 0.333 0.645
```

Properties
For the spin magnetization, the calculation gives 0.00 Bohr magnetons per cell. The formation energy is 28 meV/atom. The total energy is -4.6214 eV per atom. Its crystal system is trigonal.